# 1
A plane-wave DFT calculation with PBE-GGA was carried out for a geometry-optimized LiAc2TmTe4 structure.

```
data_LiAc2TmTe4
_cell_length_a 7.825
_cell_length_b 4.515
_cell_length_c 7.845
_cell_angle_alpha 90.00
_cell_angle_beta 109.33
_cell_angle_gamma 90.00
_space_group_name_H-M_alt 'P 1 2/m 1'
_space_group_IT_number 10
loop_
_space_group_symop_operation_xyz
'x,y,z'
'-x,-y,-z'
'-x,y,-z'
'x,-y,z'
loop_
_atom_site_label
_atom_site_type_symbol
_atom_site_fract_x
_atom_site_fract_y
_atom_site_fract_z
Li1 Li 0.000 0.000 0.000
Ac1 Ac 0.500 0.000 0.500
Ac2 Ac 0.500 0.500 0.000
Tm1 Tm 0.000 0.500 0.500
Te1 Te 0.218 0.000 0.742
Te2 Te 0.218 0.500 0.238
```

The volume is 32.69 A^3/atom. For the total moment, the calculation gives 0.0 μB per formula unit. The calculation puts the uncorrected formation energy at -1.355 eV/atom.


# 2
A plane-wave DFT calculation with PBE-GGA was carried out for a geometry-optimized LiAc3Tm3Te8 structure.

```
data_LiAc3Tm3Te8
_cell_length_a 8.8984
_cell_length_b 8.8984
_cell_length_c 22.4539
_cell_angle_alpha 90.00
_cell_angle_beta 90.00
_cell_angle_gamma 120.00
_space_group_name_H-M_alt 'R -3 m'
_space_group_IT_number 166
_space_group_name_Hall '-R 3 2"'
loop_
_atom_site_label
_atom_site_type_symbol
_atom_site_fract_x
_atom_site_fract_y
_atom_site_fract_z
Li1 Li 0.0000 0.0000 0.0000
Ac1 Ac 0.0000 0.5000 0.5000
Tm1 Tm 0.0000 0.5000 0.0000
Te1 Te 0.0000 0.0000 0.2599
Te2 Te 0.0072 0.5036 0.2579
```

The volume is 34.22 A^3/atom. For the total moment, the calculation gives 0.0 μB per formula unit. The calculation puts the uncorrected formation energy at -1.359 eV/atom.


# 3
A plane-wave DFT calculation with PBE-GGA was carried out for a geometry-optimized LiAc2TmTe5 structure.

```
data_LiAc2TmTe5
_cell_length_a 4.567
_cell_length_b 19.262
_cell_length_c 13.450
_cell_angle_alpha 90.00
_cell_angle_beta 90.00
_cell_angle_gamma 90.00
_space_group_name_H-M_alt 'C m c 21'
_space_group_IT_number 36
loop_
_space_group_symop_operation_xyz
'x,y,z'
'-x,-y,z+1/2'
'-x,y,z'
'x,-y,z+1/2'
'x+1/2,y+1/2,z'
'-x+1/2,-y+1/2,z+1/2'
'-x+1/2,y+1/2,z'
'x+1/2,-y+1/2,z+1/2'
loop_
_atom_site_label
_atom_site_type_symbol
_atom_site_fract_x
_atom_site_fract_y
_atom_site_fract_z
Li1 Li 0.000 0.061 0.000
Ac1 Ac 0.000 0.374 0.843
Ac2 Ac 0.000 0.393 0.225
Tm1 Tm 0.000 0.303 0.549
Te1 Te 0.000 0.001 0.321
Te2 Te 0.000 0.143 0.538
Te3 Te 0.000 0.192 0.892
Te4 Te 0.000 0.215 0.201
Te5 Te 0.000 0.450 0.602
```

The volume is 32.87 A^3/atom. For the total moment, the calculation gives 0.0 μB per formula unit. The calculation puts the uncorrected formation energy at -1.439 eV/atom.


# 4
A plane-wave DFT calculation with PBE-GGA was carried out for a geometry-optimized LiAcYTe3 structure.

```
data_LiAcYTe3
_cell_length_a 9.176
_cell_length_b 4.410
_cell_length_c 9.744
_cell_angle_alpha 90.00
_cell_angle_beta 104.57
_cell_angle_gamma 90.00
_space_group_name_H-M_alt 'P 1 21/m 1'
_space_group_IT_number 11
loop_
_space_group_symop_operation_xyz
'x,y,z'
'-x,-y,-z'
'-x,y+1/2,-z'
'x,-y+1/2,z'
loop_
_atom_site_label
_atom_site_type_symbol
_atom_site_fract_x
_atom_site_fract_y
_atom_site_fract_z
Li1 Li 0.087 0.250 0.089
Ac1 Ac 0.192 0.250 0.735
Y1 Y 0.334 0.750 0.348
Te1 Te 0.099 0.250 0.373
Te2 Te 0.227 0.750 0.011
Te3 Te 0.441 0.750 0.677
```

The volume is 31.80 A^3/atom. For the total moment, the calculation gives 0.0 μB per formula unit. The calculation puts the uncorrected formation energy at -1.352 eV/atom.


> Number 3 is which compound?

LiAc2TmTe5


> What is the total moment in the second record?

0.0 μB per formula unit


> Look up the total moment of the third one.

0.0 μB per formula unit


> Which value of volume does entry 2 give?

34.22 A^3/atom